Ce4Sb2Rh | PBE-GGA | relaxed

Lattice parameters (Å, degrees): 6.7768 6.4673 9.5864 90.00 110.17 90.00
Fractional coordinates of all 14 atoms:
Ce1 0.0045 0.0285 0.2587
Ce2 0.0045 0.4715 0.2587
Ce3 0.3776 0.7500 0.0725
Ce4 0.4281 0.7500 0.6262
Ce5 0.5719 0.2500 0.3738
Ce6 0.6224 0.2500 0.9275
Ce7 0.9955 0.5285 0.7413
Ce8 0.9955 0.9715 0.7413
Sb1 0.2222 0.2500 0.0422
Sb2 0.2421 0.2500 0.5740
Sb3 0.7579 0.7500 0.4260
Sb4 0.7778 0.7500 0.9578
Rh1 0.3305 0.7500 0.3306
Rh2 0.6695 0.2500 0.6694

Properties
As for the uncorrected formation energy: -0.729 eV per atom. Its crystal system is monoclinic.